Record 1
The following is a DFT calculation (PBE) of a relaxed Pm2Er4MgSc crystal.

abc: 4.9322 4.9149 9.8590
angles: 90.00 90.06 90.00
Space group P2/m (No. 10)
Asymmetric unit:
Pm 0.0000 0.0000 0.0000 x1
Pm 0.5000 0.5000 0.5000 x1
Er 0.9997 0.5000 0.2459 x2
Er 0.4994 0.0000 0.2454 x2
Mg 0.0000 0.0000 0.5000 x1
Sc 0.5000 0.5000 0.0000 x1

Results
- total DFT energy (no corrections) (eV/atom) = -4.420
- DOS at the Fermi energy (states/eV per cell) = 12.51

---

Record 2
The following is a DFT calculation (PBE) of a relaxed Cs3PaTe6 crystal.

abc: 13.2013 13.2013 13.2013
angles: 90.00 90.00 90.00
Space group Fm-3m (No. 225)
Asymmetric unit:
Cs 0.0000 0.0000 0.0000 x4
Cs 0.2500 0.2500 0.2500 x8
Pa 0.0000 0.0000 0.5000 x4
Te 0.0000 0.0000 0.2777 x24

Results
- polymorph energy (0 for the lowest one) (kJ/mol of atoms) = 10.7
- total DFT energy (no corrections) (eV/atom) = -3.671
- DOS at the Fermi energy (states/eV per cell) = 50.71
- formation energy from raw total energies (meV per atom) = -580

---

Record 3
The following is a DFT calculation (PBE) of a relaxed Li3NpGe2Se6 crystal.

abc: 6.9835 12.1030 6.7276
angles: 90.00 110.14 90.00
Space group C2/m (No. 12)
Asymmetric unit:
Li 0.0000 0.0000 0.0000 x2
Li 0.0000 0.3298 0.0000 x4
Np 0.0000 0.5000 0.5000 x2
Ge 0.0000 0.1662 0.5000 x4
Se 0.2459 0.3364 0.7475 x8
Se 0.2461 0.5000 0.2556 x4

Results
- total DFT energy (no corrections) (eV/atom) = -4.890
- DOS at the Fermi energy (states/eV per cell) = 16.49
- formation energy from raw total energies (meV per atom) = -821

---

Record 4
The following is a DFT calculation (PBE) of a relaxed LiPm2Cu6 crystal.

abc: 9.6525 5.5529 5.7228
angles: 90.00 90.06 90.00
Space group C2/m (No. 12)
Asymmetric unit:
Li 0.0000 0.0000 0.0000 x2
Pm 0.1665 0.5000 0.1559 x4
Cu 0.0896 0.2685 0.6573 x8
Cu 0.1802 0.0000 0.3428 x4

Results
- total DFT energy (no corrections) (eV/atom) = -4.080
- DOS at the Fermi energy (states/eV per cell) = 9.55

---

Record 5
The following is a DFT calculation (PBE) of a relaxed Cr2ReSe crystal.

abc: 6.0338 6.0338 6.0338
angles: 90.00 90.00 90.00
Space group F-43m (No. 216)
Asymmetric unit:
Cr 0.0000 0.0000 0.0000 x4
Cr 0.2500 0.2500 0.2500 x4
Re 0.2500 0.2500 0.7500 x4
Se 0.0000 0.0000 0.5000 x4

Results
- polymorph energy (0 for the lowest one) (kJ/mol of atoms) = 24.1
- total DFT energy (no corrections) (eV/atom) = -8.345
- DOS at the Fermi energy (states/eV per cell) = 18.88
- formation energy from raw total energies (meV per atom) = 450

---

Record 6
The following is a DFT calculation (PBE) of a relaxed Rb4Dy3ThSe8 crystal.

abc: 8.5013 8.5013 24.0942
angles: 90.00 90.00 120.00
Space group R-3m (No. 166, hexagonal axes)
Asymmetric unit:
Rb 0.0000 0.0000 0.0000 x3
Rb 0.0000 0.5000 0.0000 x9
Dy 0.0000 0.5000 0.5000 x9
Th 0.0000 0.0000 0.5000 x3
Se 0.0000 0.0000 0.2319 x6
Se 0.0030 0.5015 0.7669 x18

Results
- total DFT energy (no corrections) (eV/atom) = -4.991
- DOS at the Fermi energy (states/eV per cell) = 14.49
- formation energy from raw total energies (meV per atom) = -1680

---

Record 7
The following is a DFT calculation (PBE) of a relaxed Nd2Ga4Pd3Rh crystal.

abc: 4.3157 4.3157 10.3005
angles: 90.00 90.00 90.00
Space group P-4m2 (No. 115)
Asymmetric unit:
Nd 0.0000 0.5000 0.2490 x2
Ga 0.0000 0.0000 0.5000 x1
Ga 0.0000 0.5000 0.8729 x2
Ga 0.5000 0.5000 0.5000 x1
Pd 0.0000 0.0000 0.0000 x1
Pd 0.0000 0.5000 0.6314 x2
Rh 0.5000 0.5000 0.0000 x1

Results
- total DFT energy (no corrections) (eV/atom) = -5.263
- DOS at the Fermi energy (states/eV per cell) = 7.18

---

Record 8
The following is a DFT calculation (PBE) of a relaxed TcRhC2 crystal.

abc: 4.6134 4.6134 9.1796
angles: 90.00 90.00 90.00
Space group I-42d (No. 122)
Asymmetric unit:
Tc 0.0000 0.0000 0.0000 x4
Rh 0.0000 0.0000 0.5000 x4
C 0.2413 0.2500 0.1250 x8

Results
- polymorph energy (0 for the lowest one) (kJ/mol of atoms) = 0.0
- total DFT energy (no corrections) (eV/atom) = -8.567
- DOS at the Fermi energy (states/eV per cell) = 0.44

---

Record 9
The following is a DFT calculation (PBE) of a relaxed RbSiAu3 crystal.

abc: 17.8851 4.3384 6.7515
angles: 90.00 90.71 90.00
Space group C2/m (No. 12)
Asymmetric unit:
Rb 0.0936 0.0000 0.1181 x4
Si 0.1376 0.5000 0.6039 x4
Au 0.0731 0.0000 0.5972 x4
Au 0.2168 0.5000 0.8982 x4
Au 0.2309 0.5000 0.3483 x4

Results
- polymorph energy (0 for the lowest one) (kJ/mol of atoms) = 16.1
- total DFT energy (no corrections) (eV/atom) = -3.352
- DOS at the Fermi energy (states/eV per cell) = 6.84
- formation energy from raw total energies (meV per atom) = -108

---

Record 10
The following is a DFT calculation (PBE) of a relaxed Li2CaCeAu4 crystal.

abc: 4.5979 4.5979 28.4571
angles: 90.00 90.00 120.00
Space group R-3m (No. 166, hexagonal axes)
Asymmetric unit:
Li 0.0000 0.0000 0.2467 x6
Ca 0.0000 0.0000 0.5000 x3
Ce 0.0000 0.0000 0.0000 x3
Au 0.0000 0.0000 0.1086 x6
Au 0.0000 0.0000 0.3906 x6

Results
- total DFT energy (no corrections) (eV/atom) = -3.742
- DOS at the Fermi energy (states/eV per cell) = 31.05

---

Record 11
The following is a DFT calculation (PBE) of a relaxed PbBr2 crystal.

abc: 3.8093 3.8093 14.0903
angles: 90.00 90.00 90.00
Space group I4/mmm (No. 139)
Asymmetric unit:
Pb 0.0000 0.0000 0.0000 x2
Br 0.0000 0.0000 0.3746 x4

Results
- total DFT energy (no corrections) (eV/atom) = -3.126
- DOS at the Fermi energy (states/eV per cell) = 0.00
- formation energy from raw total energies (meV per atom) = -774

---

Record 12
The following is a DFT calculation (PBE) of a relaxed PuPa2Al6 crystal.

abc: 8.0521 8.0521 3.2416
angles: 90.00 90.00 120.00
Space group P6/mmm (No. 191)
Asymmetric unit:
Pu 0.0000 0.0000 0.0000 x1
Pa 0.3333 0.6667 0.0000 x2
Al 0.0000 0.3336 0.5000 x6

Results
- total DFT energy (no corrections) (eV/atom) = -6.474
- DOS at the Fermi energy (states/eV per cell) = 13.66

---

Record 13
The following is a DFT calculation (PBE) of a relaxed Tb2AlGa3Au4 crystal.

abc: 4.3425 4.3425 10.6442
angles: 90.00 90.00 90.00
Space group P-4m2 (No. 115)
Asymmetric unit:
Tb 0.0000 0.5000 0.2451 x2
Al 0.0000 0.0000 0.5000 x1
Ga 0.0000 0.5000 0.8644 x2
Ga 0.5000 0.5000 0.5000 x1
Au 0.0000 0.0000 0.0000 x1
Au 0.0000 0.5000 0.6318 x2
Au 0.5000 0.5000 0.0000 x1

Results
- total DFT energy (no corrections) (eV/atom) = -4.151
- DOS at the Fermi energy (states/eV per cell) = 3.98

---

Record 14
The following is a DFT calculation (PBE) of a relaxed MgZr2Au crystal.

abc: 3.3460 4.2327 5.8433
angles: 90.00 90.00 90.00
Space group Pmmm (No. 47)
Asymmetric unit:
Mg 0.0000 0.0000 0.0000 x1
Zr 0.5000 0.5000 0.2586 x2
Au 0.0000 0.0000 0.5000 x1

Results
- total DFT energy (no corrections) (eV/atom) = -5.727
- DOS at the Fermi energy (states/eV per cell) = 3.14

---

Record 15
The following is a DFT calculation (PBE) of a relaxed CaGaP3 crystal.

abc: 5.2196 5.2196 5.2196
angles: 90.00 90.00 90.00
Space group Pm-3m (No. 221)
Asymmetric unit:
Ca 0.0000 0.0000 0.0000 x1
Ga 0.5000 0.5000 0.5000 x1
P 0.0000 0.0000 0.5000 x3

Results
- polymorph energy (0 for the lowest one) (kJ/mol of atoms) = 74.0
- total DFT energy (no corrections) (eV/atom) = -3.267
- DOS at the Fermi energy (states/eV per cell) = 4.44

---

Record 16
The following is a DFT calculation (PBE) of a relaxed NaLa2Sn3Pd4 crystal.

abc: 4.5694 4.5694 11.1001
angles: 90.00 90.00 90.00
Space group P-4m2 (No. 115)
Asymmetric unit:
Na 0.0000 0.0000 0.0000 x1
La 0.0000 0.5000 0.7365 x2
Sn 0.0000 0.5000 0.3734 x2
Sn 0.5000 0.5000 0.0000 x1
Pd 0.0000 0.0000 0.5000 x1
Pd 0.0000 0.5000 0.1379 x2
Pd 0.5000 0.5000 0.5000 x1

Results
- total DFT energy (no corrections) (eV/atom) = -5.110
- DOS at the Fermi energy (states/eV per cell) = 5.88

---

Record 17
The following is a DFT calculation (PBE) of a relaxed Sc2BTe crystal.

abc: 3.8476 3.8476 25.1192
angles: 90.00 90.00 120.00
Space group R-3m (No. 166, hexagonal axes)
Asymmetric unit:
Sc 0.0000 0.0000 0.0919 x6
B 0.0000 0.0000 0.0000 x3
Te 0.0000 0.0000 0.5000 x3

Results
- polymorph energy (0 for the lowest one) (kJ/mol of atoms) = 78.2
- total DFT energy (no corrections) (eV/atom) = -5.170
- DOS at the Fermi energy (states/eV per cell) = 16.13
- formation energy from raw total energies (meV per atom) = 450

---

Record 18
The following is a DFT calculation (PBE) of a relaxed Zr2ScPt crystal.

abc: 3.5003 4.6081 4.9675
angles: 90.00 90.00 90.00
Space group Pmmm (No. 47)
Asymmetric unit:
Zr 0.0000 0.0000 0.0000 x1
Zr 0.5000 0.5000 0.0000 x1
Sc 0.0000 0.5000 0.5000 x1
Pt 0.5000 0.0000 0.5000 x1

Results
- polymorph energy (0 for the lowest one) (kJ/mol of atoms) = 9.2
- total DFT energy (no corrections) (eV/atom) = -7.850
- DOS at the Fermi energy (states/eV per cell) = 5.08

---

Record 19
The following is a DFT calculation (PBE) of a relaxed MgZr2Cl crystal.

abc: 3.1695 3.1695 9.5505
angles: 90.00 90.00 90.00
Space group P4mm (No. 99)
Asymmetric unit:
Mg 0.0000 0.0000 0.0000 x1
Zr 0.0000 0.0000 0.4769 x1
Zr 0.5000 0.5000 0.2332 x1
Cl 0.5000 0.5000 0.6525 x1

Results
- polymorph energy (0 for the lowest one) (kJ/mol of atoms) = 5.3
- total DFT energy (no corrections) (eV/atom) = -5.567
- DOS at the Fermi energy (states/eV per cell) = 1.82
- formation energy from raw total energies (meV per atom) = -433

---

Record 20
The following is a DFT calculation (PBE) of a relaxed Y2ZrIr2 crystal.

abc: 4.1916 5.9444 9.0083
angles: 90.00 90.00 90.00
Space group Immm (No. 71)
Asymmetric unit:
Y 0.0000 0.0000 0.2036 x4
Zr 0.0000 0.5000 0.0000 x2
Ir 0.0000 0.2794 0.5000 x4

Results
- polymorph energy (0 for the lowest one) (kJ/mol of atoms) = 0.0
- total DFT energy (no corrections) (eV/atom) = -8.596
- DOS at the Fermi energy (states/eV per cell) = 8.28